The following is a GGA-PBE calculation of a relaxed Tm6In5Cu crystal, from Alexandria via LeMat-Bulk.

CIF file:
```
data_Tm6In5Cu
_cell_length_a 5.233
_cell_length_b 15.698
_cell_length_c 7.291
_cell_angle_alpha 90.00
_cell_angle_beta 90.00
_cell_angle_gamma 90.00
_symmetry_space_group_name_H-M 'C m m m'
_symmetry_Int_Tables_number 65
_symmetry_space_group_name_Hall '-C 2 2'
loop_
_atom_site_label
_atom_site_fract_x
_atom_site_fract_y
_atom_site_fract_z
Tm1 0.000 0.000 0.239
Tm2 0.000 0.340 0.243
In1 0.000 0.166 0.000
In2 0.000 0.169 0.500
In3 0.000 0.500 0.500
Cu1 0.000 0.500 0.000
```

Energy relative to the elements in eV per atom: -0.385
Crystal system: orthorhombic
Energy in eV per atom: -4.103
Total magnetization in μB per atom: 0.000